1.
# CoMo2W

Crystalline CoMo2W at its relaxed geometry (PBE, Alexandria).

Summary:
- Energy above the lowest structure with this stoichiometry: 4 meV/atom
- Formation enthalpy at 0 K: 0.079 eV/atom
- Space group: Cmmm, No. 65
- E: -0.7608 Ry per atom

```
4
Lattice="2.692 -0.011 0.000 -0.674 2.607 0.000 0.000 0.000 8.337" Properties=species:S:1:pos:R:3 pbc="T T T"
Co 1.009 1.298 6.253
Mo 0.000 0.000 8.148
Mo 0.000 0.000 4.357
W 1.009 1.298 2.084
```

---

2.
# VFeS4

Crystalline VFeS4 at its relaxed geometry (PBE, Alexandria).

Summary:
- E_form (uncorrected): -0.4920 eV/atom
- Space group: P2_1/c, No. 14
- E: -0.4538 Ry per atom

```
12
Lattice="-3.071 -4.123 2.303 3.071 -3.828 -2.758 3.620 -0.221 4.336" Properties=species:S:1:pos:R:3 pbc="T T T"
V 0.000 0.000 0.000
V 0.000 -3.975 -0.228
Fe 0.274 -2.172 3.319
Fe 3.345 -2.025 0.789
S -0.446 -6.038 0.945
S 1.632 -3.076 4.893
S 1.450 -3.091 1.556
S 4.493 -4.003 0.464
S 4.065 -2.134 2.935
S 1.987 -5.095 -1.013
S 2.169 -5.081 2.324
S -0.874 -4.169 3.416
```

---

3.
# TbU5Se6

Crystalline TbU5Se6 at its relaxed geometry (PBE, Alexandria).

Summary:
- E_form (uncorrected): -1.1209 eV/atom
- Space group: C2/m, No. 12
- E: -0.5845 Ry per atom

```
12
Lattice="6.869 0.117 -1.272 -3.521 5.899 -1.272 0.125 0.224 6.856" Properties=species:S:1:pos:R:3 pbc="T T T"
U 5.173 1.207 2.156
U 3.367 2.065 -1.272
U 1.736 3.120 2.156
U -0.020 3.950 -1.272
U -1.701 5.032 2.156
Tb 0.000 0.000 0.000
Se 2.596 0.577 1.070
Se 4.350 3.730 3.242
Se 0.913 1.641 4.489
Se 2.559 4.598 -0.176
Se -0.878 2.510 1.070
Se 0.877 5.663 3.242
```

---

4.
# Ca3Zn3Pd

Crystalline Ca3Zn3Pd at its relaxed geometry (PBE, Alexandria).

Summary:
- Formation enthalpy at 0 K: -0.403 eV/atom
- Space group: C2/m, No. 12
- E: -0.1873 Ry per atom

```
14
Lattice="-0.564 3.369 2.584 -2.252 -1.620 5.171 12.714 -0.609 7.118" Properties=species:S:1:pos:R:3 pbc="T T T"
Ca 6.760 0.879 7.428
Ca 3.139 0.260 7.444
Ca 2.308 0.273 3.698
Ca 7.591 0.867 11.175
Ca 10.818 0.262 9.118
Ca -0.919 0.877 5.755
Zn 4.639 1.327 9.930
Zn 5.260 -0.188 4.942
Zn 9.690 -1.661 11.378
Zn 0.209 2.800 3.494
Zn 0.506 1.703 8.539
Zn 9.393 -0.564 6.334
Pd 4.298 2.204 5.163
Pd 5.601 -1.064 9.709
```